Material: Er2Ge4Os3
Method: DFT, PBE
State: optimized geometry

The value obtained for the formation energy is -0.31 eV/atom. For the spin magnetization, the calculation gives 0.00 μB per cell. Its mass density is 12.0 g cm⁻³.

The structure belongs to space group Fmmm (No. 69); the cell edges are 5.501, 9.651 and 12.476 Å and the angles 90.00°, 90.00° and 90.00°. The asymmetric unit holds Er at (0.000, 0.000, 0.130), Ge at (0.000, 0.166, 0.341), Os at (0.000, 0.000, 0.500) and Os at (0.250, 0.250, 0.000).